Entry 1:
## La2BI (GGA-PBE)

Data for an optimized crystal structure of La2BI.

```
La2BI
1.0
0.000 3.746 3.746
3.746 0.000 3.746
3.746 3.746 0.000
La B I
2 1 1
direct
0.250 0.250 0.250
0.750 0.750 0.750
0.000 0.000 0.000
0.500 0.500 0.500
```

Computed properties:
* SG: Fm-3m (225)
* V: 105.1 Å³/f.u.
* formation energy (no corrections): -0.013 eV per atom
* N(E_F): 0.868 states/eV per atom
* ΔE to the lowest computed polymorph: 303.1 meV/atom



Entry 2:
## La4B4I5 (GGA-PBE)

Data for an optimized crystal structure of La4B4I5.

```
La4B4I5
1.0
9.810 -2.178 0.000
9.810 2.178 0.000
-2.765 0.000 10.108
La B I
4 4 5
direct
0.000 0.000 0.000
0.005 0.005 0.490
0.370 0.370 0.180
0.635 0.635 0.310
0.187 0.818 0.245
0.502 0.502 0.152
0.503 0.503 0.338
0.818 0.187 0.245
0.176 0.176 0.100
0.178 0.178 0.555
0.503 0.503 0.745
0.827 0.827 0.935
0.829 0.829 0.390
```

Computed properties:
* SG: Cm (8)
* V: 432.0 Å³/f.u.
* formation energy (no corrections): -1.145 eV per atom
* N(E_F): 0.040 states/eV per atom



Entry 3:
## La4BI5 (GGA-PBE)

Data for an optimized crystal structure of La4BI5.

```
La4BI5
1.0
9.889 -2.151 0.000
9.889 2.151 0.000
-2.014 0.000 8.867
La B I
4 1 5
direct
0.001 0.001 0.297
0.359 0.359 0.427
0.641 0.641 0.573
0.999 0.999 0.703
0.500 0.500 0.500
0.166 0.166 0.846
0.173 0.173 0.323
0.500 0.500 0.000
0.827 0.827 0.677
0.834 0.834 0.154
```

Computed properties:
* SG: C2/m (12)
* V: 377.2 Å³/f.u.
* formation energy (no corrections): -1.144 eV per atom
* N(E_F): 0.637 states/eV per atom



Entry 4:
## LaBMoI2 (GGA-PBE)

Data for an optimized crystal structure of LaBMoI2.

```
LaBMoI2
1.0
6.189 0.000 0.000
0.000 6.189 0.000
0.000 0.000 4.753
La B Mo I
1 1 1 2
direct
0.000 0.000 0.000
0.000 0.000 0.500
0.500 0.500 0.500
0.000 0.500 0.000
0.500 0.000 0.000
```

Computed properties:
* SG: P4/mmm (123)
* V: 182.0 Å³/f.u.
* formation energy (no corrections): 1.676 eV per atom
* N(E_F): 3.072 states/eV per atom



Entry 5:
## La2BPbI (GGA-PBE)

Data for an optimized crystal structure of La2BPbI.

```
La2BPbI
1.0
5.923 0.000 0.000
0.000 5.923 0.000
0.000 0.000 5.872
La B Pb I
2 1 1 1
direct
0.000 0.500 0.000
0.500 0.000 0.000
0.000 0.000 0.500
0.500 0.500 0.500
0.500 0.500 0.000
```

Computed properties:
* SG: P4/mmm (123)
* V: 206.0 Å³/f.u.
* formation energy (no corrections): 1.067 eV per atom
* N(E_F): 0.938 states/eV per atom



Entry 6:
## La2BPdI (GGA-PBE)

Data for an optimized crystal structure of La2BPdI.

```
La2BPdI
1.0
5.897 0.000 0.000
0.000 5.897 0.000
0.000 0.000 4.398
La B Pd I
2 1 1 1
direct
0.000 0.500 0.000
0.500 0.000 0.000
0.000 0.000 0.500
0.500 0.500 0.500
0.000 0.000 0.000
```

Computed properties:
* SG: P4/mmm (123)
* V: 152.9 Å³/f.u.
* formation energy (no corrections): 0.679 eV per atom
* N(E_F): 0.905 states/eV per atom



Entry 7:
## LaB2PdI (GGA-PBE)

Data for an optimized crystal structure of LaB2PdI.

```
LaB2PdI
1.0
4.614 0.000 0.000
0.000 4.614 0.000
0.000 0.000 5.017
La B Pd I
1 2 1 1
direct
0.000 0.000 0.000
0.000 0.500 0.500
0.500 0.000 0.500
0.500 0.500 0.000
0.500 0.500 0.500
```

Computed properties:
* SG: P4/mmm (123)
* V: 106.8 Å³/f.u.
* formation energy (no corrections): 1.309 eV per atom
* N(E_F): 0.809 states/eV per atom



Entry 8:
## Rb2LaBI6 (GGA-PBE)

Data for an optimized crystal structure of Rb2LaBI6.

```
Rb2LaBI6
1.0
0.000 6.048 6.048
6.048 0.000 6.048
6.048 6.048 0.000
Rb La B I
2 1 1 6
direct
0.250 0.250 0.250
0.750 0.750 0.750
0.000 0.000 0.000
0.500 0.500 0.500
0.260 0.260 0.740
0.260 0.740 0.260
0.260 0.740 0.740
0.740 0.260 0.260
0.740 0.260 0.740
0.740 0.740 0.260
```

Computed properties:
* SG: Fm-3m (225)
* V: 442.4 Å³/f.u.
* formation energy (no corrections): -0.830 eV per atom
* N(E_F): 0.000 states/eV per atom



Entry 9:
## La6BS2I3 (GGA-PBE)

Data for an optimized crystal structure of La6BS2I3.

```
La6BS2I3
1.0
3.641 -6.311 0.000
3.641 6.311 0.000
-2.432 0.000 7.856
La B S I
6 1 2 3
direct
0.063 0.381 0.187
0.256 0.256 0.813
0.381 0.063 0.187
0.619 0.937 0.813
0.744 0.744 0.187
0.937 0.619 0.813
0.000 0.000 0.000
0.333 0.667 0.000
0.667 0.333 0.000
0.168 0.832 0.500
0.500 0.500 0.500
0.832 0.168 0.500
```

Computed properties:
* SG: C2/m (12)
* V: 361.0 Å³/f.u.
* formation energy (no corrections): -1.328 eV per atom
* N(E_F): 0.451 states/eV per atom



Entry 10:
## LaBSI2 (GGA-PBE)

Data for an optimized crystal structure of LaBSI2.

```
LaBSI2
1.0
5.896 0.000 0.000
0.000 5.896 0.000
0.000 0.000 5.327
La B S I
1 1 1 2
direct
0.000 0.000 0.000
0.500 0.500 0.000
0.000 0.000 0.500
0.000 0.500 0.500
0.500 0.000 0.500
```

Computed properties:
* SG: P4/mmm (123)
* V: 185.2 Å³/f.u.
* formation energy (no corrections): 0.613 eV per atom
* N(E_F): 0.677 states/eV per atom



Entry 11:
## LaBSb2I (GGA-PBE)

Data for an optimized crystal structure of LaBSb2I.

```
LaBSb2I
1.0
6.164 0.000 0.000
0.000 6.164 0.000
0.000 0.000 6.182
La B Sb I
1 1 2 1
direct
0.000 0.000 0.000
0.500 0.500 0.500
0.000 0.500 0.000
0.500 0.000 0.000
0.000 0.000 0.500
```

Computed properties:
* SG: P4/mmm (123)
* V: 234.9 Å³/f.u.
* formation energy (no corrections): 1.110 eV per atom
* N(E_F): 1.059 states/eV per atom
* ΔE to the lowest computed polymorph: 1008.5 meV/atom



Entry 12:
## LaBSbI2 (GGA-PBE)

Data for an optimized crystal structure of LaBSbI2.

```
LaBSbI2
1.0
6.230 0.000 0.000
0.000 6.230 0.000
0.000 0.000 6.447
La B Sb I
1 1 1 2
direct
0.000 0.000 0.000
0.500 0.500 0.500
0.000 0.000 0.500
0.000 0.500 0.000
0.500 0.000 0.000
```

Computed properties:
* SG: P4/mmm (123)
* V: 250.2 Å³/f.u.
* formation energy (no corrections): 0.612 eV per atom
* N(E_F): 0.964 states/eV per atom
* ΔE to the lowest computed polymorph: 510.0 meV/atom



Look up the N(E_F) of the tenth one. 0.677 states/eV per atom